(1)
# Ca2ReW

A relaxed Ca2ReW crystal (PBE-GGA, Alexandria).

Calculated values
E above lowest polymorph (meV per atom): 108
Symmetry: No. 8
E_form (eV/atom): 0.4808
Total magnetization (μB per formula unit): 0.00

Cell: 7.0425 4.3334 7.0425 Å, 107.92 144.04 90.11°
Closest atoms and distances in Å follow each position.
Fractional positions:
Ca1 0.2250 0.7767 0.5517  3 W 3.10-3.11, 3 Re 3.27-3.28
Ca2 0.0263 0.9726 0.9464  3 Re 3.07-3.08, 3 W 3.24-3.25
Re1 0.4503 0.5485 0.0981  3 W 2.52
W1 0.7984 0.2022 0.4038  3 Re 2.52

(2)
# BC2

A relaxed BC2 crystal (PBE-GGA, Alexandria).

Calculated values
E above lowest polymorph (meV per atom): 78
Symmetry: No. 51
E_form (eV/atom): 0.3184
Total magnetization (μB per formula unit): 0.00

Cell: 2.5570 2.4988 11.9261 Å, 90.00 90.00 90.00°
Closest atoms and distances in Å follow each position.
Fractional positions:
C1 0.0000 0.5000 0.4149  4 B 1.61-1.65
C2 0.5000 0.0000 0.5917  2 C 1.50
C3 0.0000 0.0000 0.0138  2 C 1.51, 2 B 1.65
C4 0.0000 0.0000 0.6583  2 C 1.50
C5 0.5000 0.0000 0.2362  2 C 1.51, 2 B 1.65
C6 0.5000 0.5000 0.1646  4 C 1.51-1.59
C7 0.0000 0.5000 0.0854  4 C 1.51-1.59
C8 0.5000 0.5000 0.8351  4 B 1.61-1.65
B1 0.5000 0.0000 0.9259  4 C 1.65
B2 0.0000 0.0000 0.3241  4 C 1.65
B3 0.5000 0.5000 0.4963  4 C 1.61-1.69
B4 0.0000 0.5000 0.7537  4 C 1.61-1.69

(3)
# Ho3Ga8Co3

A relaxed Ho3Ga8Co3 crystal (PBE-GGA, Alexandria).

Calculated values
Symmetry: No. 71
E_form (eV/atom): -0.5011
Total magnetization (μB per formula unit): 0.00

Cell: 4.1213 7.9907 7.9907 Å, 74.10 75.06 75.06°
Closest atoms and distances in Å follow each position.
Fractional positions:
Co1 0.0000 0.2136 0.7864  6 Ga 2.46-2.49
Co2 0.0000 0.7864 0.2136  6 Ga 2.46-2.49
Co3 0.5000 0.0000 0.0000  4 Ga 2.47
Ga1 0.3838 0.9054 0.3271  3 Co 2.47-2.49, 3 Ga 2.61-2.75
Ga2 0.8358 0.5295 0.7988  1 Co 2.46, 4 Ga 2.59-2.75
Ga3 0.6162 0.0946 0.6729  3 Co 2.47-2.49, 3 Ga 2.61-2.75
Ga4 0.1642 0.2012 0.4705  1 Co 2.46, 4 Ga 2.59-2.75
Ga5 0.3838 0.3271 0.9054  3 Co 2.47-2.49, 3 Ga 2.61-2.75
Ga6 0.8358 0.7988 0.5295  1 Co 2.46, 4 Ga 2.59-2.75
Ga7 0.1642 0.4705 0.2012  1 Co 2.46, 4 Ga 2.59-2.75
Ga8 0.6162 0.6729 0.0946  3 Co 2.47-2.49, 3 Ga 2.61-2.75
Ho1 0.8288 0.1712 0.1712  4 Co 2.92, 8 Ga 2.97-3.14
Ho2 0.5000 0.5000 0.5000  12 Ga 3.12-3.14, 4 Co 3.44
Ho3 0.1712 0.8288 0.8288  4 Co 2.92, 8 Ga 2.97-3.14

(4)
# CeTlSnHg

A relaxed CeTlSnHg crystal (PBE-GGA, Alexandria).

Calculated values
E above lowest polymorph (meV per atom): 159
Symmetry: No. 216
E_form (eV/atom): -0.2175
Total magnetization (μB per formula unit): 1.19

Cell: 5.3981 5.3981 5.3981 Å, 60.00 60.00 60.00°
Closest atoms and distances in Å follow each position.
Fractional positions:
Hg1 0.7500 0.7500 0.7500  4 Ce 3.31, 4 Tl 3.31
Sn1 0.2500 0.2500 0.2500  4 Tl 3.31, 4 Ce 3.31
Tl1 0.5000 0.5000 0.5000  4 Hg 3.31, 4 Sn 3.31
Ce1 0.0000 0.0000 0.0000  4 Hg 3.31, 4 Sn 3.31

(5)
# LiPbF6

A relaxed LiPbF6 crystal (PBE-GGA, Alexandria).

Calculated values
E above lowest polymorph (meV per atom): 18
Symmetry: No. 12
Total magnetization (μB per formula unit): 1.01

Cell: 4.6652 4.6652 5.3557 Å, 97.27 97.27 109.77°
Closest atoms and distances in Å follow each position.
Fractional positions:
F1 0.7460 0.7460 0.2368  1 Li 2.06, 1 Pb 2.13
F2 0.2540 0.2540 0.7632  1 Li 2.06, 1 Pb 2.13
F3 0.9248 0.5891 0.7429  1 Pb 2.11, 1 Li 2.11
F4 0.0752 0.4109 0.2571  1 Pb 2.11, 1 Li 2.11
F5 0.5891 0.9248 0.7429  1 Pb 2.11, 1 Li 2.11
F6 0.4109 0.0752 0.2571  1 Pb 2.11, 1 Li 2.11
Li1 0.0000 0.0000 0.0000  6 F 2.06-2.11
Pb1 0.5000 0.5000 0.5000  6 F 2.11-2.13

(6)
# PuTlCd3

A relaxed PuTlCd3 crystal (PBE-GGA, Alexandria).

Calculated values
Symmetry: No. 11
E_form (eV/atom): 0.0267
Total magnetization (μB per formula unit): 6.16

Cell: 6.4108 6.0933 6.5328 Å, 90.00 87.90 90.00°
Closest atoms and distances in Å follow each position.
Fractional positions:
Cd1 0.1291 0.7500 0.0408  4 Cd 2.91-2.98, 1 Tl 2.96
Cd2 0.1442 0.4989 0.6624  5 Cd 2.86-3.06, 2 Tl 3.05-3.09
Cd3 0.8709 0.2500 0.9592  4 Cd 2.91-2.98, 1 Tl 2.96
Cd4 0.1442 0.0011 0.6624  5 Cd 2.86-3.06, 2 Tl 3.05-3.09
Cd5 0.8558 0.9989 0.3376  5 Cd 2.86-3.06, 2 Tl 3.05-3.09
Cd6 0.8558 0.5011 0.3376  5 Cd 2.86-3.06, 2 Tl 3.05-3.09
Pu1 0.3609 0.2500 0.1450  10 Cd 3.41-3.81, 4 Tl 3.41-3.50
Pu2 0.6391 0.7500 0.8550  10 Cd 3.41-3.81, 4 Tl 3.41-3.50
Tl1 0.4424 0.7500 0.3625  5 Cd 2.96-3.09
Tl2 0.5576 0.2500 0.6375  5 Cd 2.96-3.09